Record 1
A plane-wave DFT calculation with PBE was carried out for crystalline Ti2NbCd at its relaxed geometry.

a b c (Å): 3.313 3.313 6.694
angles (deg): 90.00 90.00 90.00
Sites, in units of the cell vectors:
Nb: 0.500 0.500 0.000
Ti: 0.000 0.000 0.777
Ti: 0.000 0.000 0.223
Cd: 0.500 0.500 0.500

Record 2
A plane-wave DFT calculation with PBE was carried out for crystalline Ti2NbCd at its relaxed geometry.

a b c (Å): 4.008 4.008 10.087
angles (deg): 78.54 78.54 90.00
Sites, in units of the cell vectors:
Cd: 0.750 0.250 0.500
Cd: 0.000 0.000 0.000
Nb: 0.250 0.750 0.500
Nb: 0.500 0.500 0.000
Ti: 0.610 0.125 0.250
Ti: 0.140 0.625 0.250
Ti: 0.375 0.390 0.750
Ti: 0.875 0.860 0.750

Record 3
A plane-wave DFT calculation with PBE was carried out for crystalline Ti2NbCd at its relaxed geometry.

a b c (Å): 3.090 3.090 9.969
angles (deg): 76.12 76.12 54.53
Sites, in units of the cell vectors:
Ti: 0.044 0.044 0.764
Ti: 0.303 0.303 0.236
Cd: 0.476 0.476 0.500
Nb: 0.677 0.677 0.000

Record 4
A plane-wave DFT calculation with PBE was carried out for crystalline ZrTiNbCd at its relaxed geometry.

a b c (Å): 4.794 4.794 4.794
angles (deg): 60.00 60.00 60.00
Sites, in units of the cell vectors:
Cd: 0.500 0.500 0.500
Nb: 0.000 0.000 0.000
Zr: 0.750 0.750 0.750
Ti: 0.250 0.250 0.250

Record 5
A plane-wave DFT calculation with PBE was carried out for crystalline NbTl2Cd at its relaxed geometry.

a b c (Å): 3.085 3.085 12.456
angles (deg): 82.89 82.89 60.00
Sites, in units of the cell vectors:
Cd: 0.500 0.500 0.500
Tl: 0.919 0.919 0.244
Tl: 0.081 0.081 0.756
Nb: 0.000 0.000 0.000

Excess energy over the best structure of this formula in the dataset, meV per atom: 0

Record 6
A plane-wave DFT calculation with PBE was carried out for crystalline NbTlCd3 at its relaxed geometry.

a b c (Å): 5.286 5.286 5.286
angles (deg): 90.00 90.00 90.00
Sites, in units of the cell vectors:
Nb: 0.500 0.500 0.500
Cd: 0.000 0.500 0.000
Cd: 0.500 0.000 0.000
Cd: 0.000 0.000 0.500
Tl: 0.000 0.000 0.000

Excess energy over the best structure of this formula in the dataset, meV per atom: 545

Record 7
A plane-wave DFT calculation with PBE was carried out for crystalline NbTl3Cd at its relaxed geometry.

a b c (Å): 5.551 5.551 5.551
angles (deg): 90.00 90.00 90.00
Last column: magnetic moment on the atom in μB.
Sites, in units of the cell vectors:
Tl: 0.500 0.000 0.000  0.01
Tl: 0.000 0.000 0.500  0.00
Tl: 0.000 0.500 0.000  0.01
Cd: 0.000 0.000 0.000  0.00
Nb: 0.500 0.500 0.500  2.85

Excess energy over the best structure of this formula in the dataset, meV per atom: 512

Record 8
A plane-wave DFT calculation with PBE was carried out for crystalline Nb2TlCd at its relaxed geometry.

a b c (Å): 4.824 4.824 4.824
angles (deg): 60.00 60.00 60.00
Sites, in units of the cell vectors:
Nb: 0.750 0.750 0.750
Nb: 0.250 0.250 0.250
Cd: 0.000 0.000 0.000
Tl: 0.500 0.500 0.500

Record 9
A plane-wave DFT calculation with PBE was carried out for crystalline NbTl3Cd at its relaxed geometry.

a b c (Å): 5.581 5.581 5.581
angles (deg): 90.00 90.00 90.00
Last column: magnetic moment on the atom in μB.
Sites, in units of the cell vectors:
Tl: 0.500 0.000 0.000  0.02
Tl: 0.000 0.500 0.000  0.03
Tl: 0.000 0.000 0.500  0.02
Nb: 0.000 0.000 0.000  0.76
Cd: 0.500 0.500 0.500  0.07

Excess energy over the best structure of this formula in the dataset, meV per atom: 0

Record 10
A plane-wave DFT calculation with PBE was carried out for crystalline NbTl2Cd at its relaxed geometry.

a b c (Å): 5.106 5.106 5.106
angles (deg): 60.00 60.00 60.00
Last column: magnetic moment on the atom in μB.
Sites, in units of the cell vectors:
Cd: 0.500 0.500 0.500  -0.01
Nb: 0.000 0.000 0.000  2.03
Tl: 0.750 0.750 0.750  0.03
Tl: 0.250 0.250 0.250  0.03

Excess energy over the best structure of this formula in the dataset, meV per atom: 76

Record 11
A plane-wave DFT calculation with PBE was carried out for crystalline NbTl2Cd at its relaxed geometry.

a b c (Å): 7.906 7.906 6.398
angles (deg): 51.84 51.84 90.00
Last column: magnetic moment on the atom in μB.
Sites, in units of the cell vectors:
Cd: 0.750 0.250 0.500  0.00
Cd: 0.000 0.000 0.000  0.00
Tl: 0.124 0.625 0.250  -0.01
Tl: 0.626 0.125 0.250  -0.01
Tl: 0.875 0.876 0.750  -0.01
Tl: 0.375 0.374 0.750  -0.01
Nb: 0.250 0.750 0.500  0.79
Nb: 0.500 0.500 0.000  0.77

Excess energy over the best structure of this formula in the dataset, meV per atom: 107

Record 12
A plane-wave DFT calculation with PBE was carried out for crystalline NbTlCd3 at its relaxed geometry.

a b c (Å): 5.574 5.574 5.574
angles (deg): 90.00 90.00 90.00
Last column: magnetic moment on the atom in μB.
Sites, in units of the cell vectors:
Cd: 0.000 0.000 0.500  0.04
Cd: 0.000 0.500 0.000  0.08
Cd: 0.500 0.000 0.000  0.11
Nb: 0.000 0.000 0.000  2.25
Tl: 0.500 0.500 0.500  0.01

Excess energy over the best structure of this formula in the dataset, meV per atom: 0

Record 13
A plane-wave DFT calculation with PBE was carried out for crystalline Nb3TlCd at its relaxed geometry.

a b c (Å): 5.014 5.014 5.014
angles (deg): 90.00 90.00 90.00
Sites, in units of the cell vectors:
Tl: 0.500 0.500 0.500
Nb: 0.000 0.500 0.000
Nb: 0.500 0.000 0.000
Nb: 0.000 0.000 0.500
Cd: 0.000 0.000 0.000

Excess energy over the best structure of this formula in the dataset, meV per atom: 0

Record 14
A plane-wave DFT calculation with PBE was carried out for crystalline Nb2TlCd at its relaxed geometry.

a b c (Å): 7.743 7.743 6.191
angles (deg): 51.29 51.29 90.00
Sites, in units of the cell vectors:
Nb: 0.125 0.625 0.250
Nb: 0.375 0.375 0.750
Nb: 0.875 0.875 0.750
Nb: 0.625 0.125 0.250
Cd: 0.250 0.750 0.500
Cd: 0.500 0.500 0.000
Tl: 0.000 0.000 0.000
Tl: 0.750 0.250 0.500

Record 15
A plane-wave DFT calculation with PBE was carried out for crystalline NbTlCd2W at its relaxed geometry.

a b c (Å): 5.336 5.380 5.336
angles (deg): 90.00 90.00 90.00
Last column: magnetic moment on the atom in μB.
Sites, in units of the cell vectors:
Cd: 0.000 0.000 0.500  -0.04
Cd: 0.500 0.000 0.000  -0.05
Nb: 0.000 0.000 0.000  -1.03
W: 0.500 0.500 0.500  3.22
Tl: 0.000 0.500 0.000  -0.07

Record 16
A plane-wave DFT calculation with PBE was carried out for crystalline Tm2NbCd at its relaxed geometry.

a b c (Å): 3.165 3.165 11.556
angles (deg): 82.13 82.13 60.00
Last column: magnetic moment on the atom in μB.
Sites, in units of the cell vectors:
Tm: 0.086 0.086 0.743  0.08
Tm: 0.914 0.914 0.257  0.08
Cd: 0.500 0.500 0.500  0.00
Nb: 0.000 0.000 0.000  0.51

Excess energy over the best structure of this formula in the dataset, meV per atom: 450

Record 17
A plane-wave DFT calculation with PBE was carried out for crystalline Tm2NbCd at its relaxed geometry.

a b c (Å): 3.323 3.323 8.728
angles (deg): 90.00 90.00 90.00
Sites, in units of the cell vectors:
Tm: 0.000 0.000 0.240
Tm: 0.000 0.000 0.760
Nb: 0.500 0.500 0.000
Cd: 0.500 0.500 0.500

Excess energy over the best structure of this formula in the dataset, meV per atom: 0

Record 18
A plane-wave DFT calculation with PBE was carried out for crystalline NbVCd2 at its relaxed geometry.

a b c (Å): 4.735 4.735 4.735
angles (deg): 60.00 60.00 60.00
Last column: magnetic moment on the atom in μB.
Sites, in units of the cell vectors:
Cd: 0.750 0.750 0.750  0.01
Cd: 0.250 0.250 0.250  0.01
Nb: 0.500 0.500 0.500  -0.33
V: 0.000 0.000 0.000  2.18

Excess energy over the best structure of this formula in the dataset, meV per atom: 0

Record 19
A plane-wave DFT calculation with PBE was carried out for crystalline NbV3Cd at its relaxed geometry.

a b c (Å): 4.799 4.799 4.799
angles (deg): 90.00 90.00 90.00
Last column: magnetic moment on the atom in μB.
Sites, in units of the cell vectors:
V: 0.000 0.000 0.500  2.09
V: 0.000 0.500 0.000  2.09
V: 0.500 0.000 0.000  2.09
Cd: 0.000 0.000 0.000  0.14
Nb: 0.500 0.500 0.500  -0.98

Excess energy over the best structure of this formula in the dataset, meV per atom: 660

Record 20
A plane-wave DFT calculation with PBE was carried out for crystalline NbVCd2 at its relaxed geometry.

a b c (Å): 7.662 7.662 6.047
angles (deg): 50.69 50.69 90.00
Last column: magnetic moment on the atom in μB.
Sites, in units of the cell vectors:
Cd: 0.142 0.625 0.250  -0.01
Cd: 0.375 0.392 0.750  -0.01
Cd: 0.608 0.125 0.250  -0.01
Cd: 0.875 0.858 0.750  -0.01
V: 0.250 0.750 0.500  0.80
V: 0.500 0.500 0.000  0.80
Nb: 0.000 0.000 0.000  -0.38
Nb: 0.750 0.250 0.500  -0.38

Excess energy over the best structure of this formula in the dataset, meV per atom: 263

Sequential energy of formation output: -0.03, 0.53, 0.10, 0.08, 0.54, 1.37, 1.16, 0.52, 0.64, 0.61, 0.64, 0.82, 1.73, 0.72, 2.00, 0.44, -0.01, 0.50, 1.98, 0.76 eV per atom